Model A:
Computed, not measured: a relaxed structure of Ni3HgCl at the PBE level of DFT.

```
5
Lattice="-4.1704 1.8610 1.6037 -0.7074 -3.9355 2.7274 2.3526 2.1156 3.6629" Properties=species:S:1:pos:R:3 pbc="T T T"
Ni -2.0852 0.9305 0.8018
Ni -0.3537 -1.9678 1.3637
Ni 1.1763 1.0578 1.8315
Cl -1.2626 0.0206 3.9970
Hg 0.0000 0.0000 0.0000
```

Values from the calculation:
Its total moment is 1.652 μB per cell. The density of states at the Fermi level is 11.8 states/eV/f.u.

***

Model B:
Computed, not measured: a relaxed structure of Ni3HgCl at the PBE level of DFT.

```
5
Lattice="4.2318 0.0000 0.0000 0.0000 4.2318 0.0000 0.0000 0.0000 4.2318" Properties=species:S:1:pos:R:3 pbc="T T T"
Ni 0.0000 2.1159 0.0000
Ni 0.0000 0.0000 2.1159
Ni 2.1159 0.0000 0.0000
Hg 2.1159 2.1159 2.1159
Cl 0.0000 0.0000 0.0000
```

Values from the calculation:
Its total moment is 0.000 μB per cell. The density of states at the Fermi level is 6.7 states/eV/f.u.

***

Which is most stable, and by how much? model B, by 779 meV/atom.

***

Model A:
Computed, not measured: a relaxed structure of NiHg3Cl at the PBE level of DFT.

```
5
Lattice="5.7270 0.0000 0.0000 0.0000 5.7270 0.0000 0.0000 0.0000 5.7270" Properties=species:S:1:pos:R:3 pbc="T T T"
Ni 2.8635 2.8635 2.8635
Cl 0.0000 0.0000 0.0000
Hg 0.0000 0.0000 2.8635
Hg 0.0000 2.8635 0.0000
Hg 2.8635 0.0000 0.0000
```

Values from the calculation:
Its total moment is 0.982 μB per cell. The density of states at the Fermi level is 12.0 states/eV/f.u.

***

Model B:
Computed, not measured: a relaxed structure of NiHg3Cl at the PBE level of DFT.

```
5
Lattice="5.0736 0.0000 0.0000 0.0000 5.0736 0.0000 0.0000 0.0000 5.0736" Properties=species:S:1:pos:R:3 pbc="T T T"
Ni 0.0000 0.0000 0.0000
Hg 0.0000 0.0000 2.5368
Hg 0.0000 2.5368 0.0000
Hg 2.5368 0.0000 0.0000
Cl 2.5368 2.5368 2.5368
```

Values from the calculation:
Its total moment is 0.000 μB per cell. The density of states at the Fermi level is 1.9 states/eV/f.u.

***

Which is most stable, and by how much? model B, by 927 meV/atom.

***

Model A:
Computed, not measured: a relaxed structure of NiHgCl4 at the PBE level of DFT.

```
6
Lattice="-4.2702 1.1039 3.9780 -0.1514 5.2242 2.8219 -4.2782 3.9265 -1.2480" Properties=species:S:1:pos:R:3 pbc="T T T"
Cl -3.3332 6.4640 3.4964
Cl -3.2572 3.8393 2.0786
Cl -5.4066 5.8120 1.4516
Cl -5.4026 4.3939 4.0772
Hg -6.5249 7.6910 4.1640
Ni 0.0000 0.0000 0.0000
```

Values from the calculation:
Its total moment is 3.838 μB per cell. The density of states at the Fermi level is 12.9 states/eV/f.u.

***

Model B:
Computed, not measured: a relaxed structure of NiHgCl4 at the PBE level of DFT.

```
12
Lattice="-3.0192 -2.3705 -1.6819 3.4885 -0.8252 -5.0990 4.7514 -9.9021 5.4268" Properties=species:S:1:pos:R:3 pbc="T T T"
Ni 0.0000 0.0000 0.0000
Ni 2.6104 -6.5489 -0.6771
Cl 3.5545 -6.7558 1.3026
Cl 2.4765 -2.5680 -4.2091
Cl 4.1368 -7.8833 -1.5048
Cl 1.6662 -6.3421 -2.6567
Cl 3.7126 -11.7491 -0.5162
Cl 2.7442 -10.5299 2.8549
Cl 1.5081 -1.3488 -0.8379
Cl 1.0839 -5.2146 0.1506
Hg 2.3757 -4.9511 2.7134
Hg 0.2346 -1.5979 -3.3905
```

Values from the calculation:
Its total moment is 0.129 μB per cell.

***

Model C:
Computed, not measured: a relaxed structure of NiHgCl4 at the PBE level of DFT.

```
6
Lattice="3.6873 0.0000 0.0000 -1.8437 7.1192 -0.3832 0.0000 3.2338 5.7997" Properties=species:S:1:pos:R:3 pbc="T T T"
Cl 0.0000 8.4542 4.8891
Cl 1.8437 7.1238 2.3434
Cl 0.0000 3.2292 3.0732
Cl 1.8437 1.8988 0.5275
Hg 0.0000 0.0000 0.0000
Ni 1.8437 1.6169 2.8998
```

Values from the calculation:
Its total moment is 1.975 μB per cell.

***

Which is most stable, and by how much? model C, by 36 meV/atom.